#1
A plane-wave DFT calculation with PBEsol was carried out for a geometry-optimized GaP structure.

abc: 3.8287 3.8287 6.3124
angles: 90.00 90.00 120.00
Space group P6_3mc (No. 186)
Inequivalent atoms, fractional coordinates:
Ga: 0.3333 0.6667 0.0000 [2 per cell]
P: 0.3333 0.6667 0.6261 [2 per cell]

Output
D(E_F)   0.00 states/eV/cell
V   80 Å³/cell
Total moment   0.000 Bohr magnetons per cell


#2
A plane-wave DFT calculation with PBEsol was carried out for a geometry-optimized GaP structure.

abc: 5.432 5.432 5.432
angles: 90.00 90.00 90.00
Space group F-43m (No. 216)
Inequivalent atoms, fractional coordinates:
Ga: 0.000 0.000 0.000 [4 per cell]
P: 0.250 0.250 0.750 [4 per cell]

Output
D(E_F)   0.00 states/eV/cell
V   160 Å³/cell
Total moment   0.000 Bohr magnetons per cell


Relative to the most stable structure, the computed energies are #1 8; #2 0, all in meV/atom.